[1]
{
  "formula": "UPaOs",
  "functional": "PBE",
  "state": "optimized geometry",
  "lattice_angstrom": [[-3.108, 0.731, -1.670], [0.719, -2.542, -2.450], [-0.980, -2.271, 4.717]],
  "species": ["Os", "Pa", "U"],
  "frac_coords": [[0.665, 0.665, 0.330], [0.329, 0.329, 0.658], [0.006, 0.006, 0.013]],
  "formation_energy_ev_per_atom": -0.08,
  "sg": "No. 107",
  "relative_energy_ev_per_atom": 0.000,
  "dft_energy_ev_per_atom": -10.746
}


[2]
{
  "formula": "UPaOs2",
  "functional": "PBE",
  "state": "optimized geometry",
  "lattice_angstrom": [[3.792, 0.000, 0.000], [0.000, 4.555, 0.000], [0.000, 0.000, 4.555]],
  "species": ["Pa", "Os", "Os", "U"],
  "frac_coords": [[0.500, 0.000, 0.000], [0.000, 0.500, 0.000], [0.000, 0.000, 0.500], [0.500, 0.500, 0.500]],
  "formation_energy_ev_per_atom": -0.08,
  "sg": "No. 123",
  "relative_energy_ev_per_atom": 0.000,
  "dft_energy_ev_per_atom": -10.896
}


[3]
{
  "formula": "UPaOs",
  "functional": "PBE",
  "state": "optimized geometry",
  "lattice_angstrom": [[8.901, 0.000, 2.131], [0.000, 3.038, 0.000], [4.944, 0.000, 5.721]],
  "species": ["U", "Os", "Pa", "U", "Os", "Pa"],
  "frac_coords": [[0.279, 0.250, 0.768], [0.325, 0.750, 0.060], [0.169, 0.250, 0.525], [0.721, 0.750, 0.232], [0.675, 0.250, 0.940], [0.831, 0.750, 0.475]],
  "formation_energy_ev_per_atom": 0.06,
  "sg": "No. 11",
  "relative_energy_ev_per_atom": 0.131,
  "dft_energy_ev_per_atom": -10.615
}


[4]
{
  "formula": "Pa2VOs",
  "functional": "PBE",
  "state": "optimized geometry",
  "lattice_angstrom": [[3.615, 0.000, 0.000], [0.000, 4.733, 0.000], [0.000, 0.000, 4.733]],
  "species": ["Pa", "V", "Pa", "Os"],
  "frac_coords": [[0.000, 0.000, 0.500], [0.500, 0.000, 0.000], [0.000, 0.500, 0.000], [0.500, 0.500, 0.500]],
  "formation_energy_ev_per_atom": 0.08,
  "sg": "No. 123",
  "relative_energy_ev_per_atom": 0.000,
  "dft_energy_ev_per_atom": -9.759
}


[5]
{
  "formula": "Pa2VOs",
  "functional": "PBE",
  "state": "optimized geometry",
  "lattice_angstrom": [[-1.471, 0.387, 2.593], [1.415, -0.457, 2.613], [2.776, 9.544, 1.894]],
  "species": ["Pa", "Os", "V", "Pa"],
  "frac_coords": [[0.913, 0.913, 0.261], [0.500, 0.500, 0.500], [0.000, 0.000, 0.000], [0.087, 0.087, 0.739]],
  "formation_energy_ev_per_atom": 0.39,
  "sg": "No. 166",
  "relative_energy_ev_per_atom": 0.311,
  "dft_energy_ev_per_atom": -9.448
}


[6]
{
  "formula": "PaOs2W",
  "functional": "PBE",
  "state": "optimized geometry",
  "lattice_angstrom": [[4.249, 0.000, 0.000], [2.124, 3.680, 0.000], [2.124, 1.227, 4.957]],
  "species": ["W", "Os", "Os", "Pa"],
  "frac_coords": [[0.500, 0.500, 0.500], [0.221, 0.221, 0.337], [0.779, 0.779, 0.663], [0.000, 0.000, 0.000]],
  "formation_energy_ev_per_atom": 0.11,
  "sg": "No. 166",
  "relative_energy_ev_per_atom": 0.232,
  "dft_energy_ev_per_atom": -11.118
}


[7]
{
  "formula": "PaOs2W",
  "functional": "PBE",
  "state": "optimized geometry",
  "lattice_angstrom": [[3.054, 0.000, 0.000], [0.000, 3.054, 0.000], [0.000, 0.000, 7.502]],
  "species": ["Os", "W", "Os", "Pa"],
  "frac_coords": [[0.000, 0.000, 0.212], [0.500, 0.500, 0.000], [0.000, 0.000, 0.788], [0.500, 0.500, 0.500]],
  "formation_energy_ev_per_atom": -0.12,
  "sg": "No. 123",
  "relative_energy_ev_per_atom": 0.000,
  "dft_energy_ev_per_atom": -11.350
}


[8]
{
  "formula": "YPaOs2",
  "functional": "PBE",
  "state": "optimized geometry",
  "lattice_angstrom": [[4.632, 0.000, 0.000], [2.316, 4.011, 0.000], [2.316, 1.337, 4.486]],
  "species": ["Y", "Os", "Os", "Pa"],
  "frac_coords": [[0.000, 0.000, 0.000], [0.226, 0.226, 0.321], [0.774, 0.774, 0.679], [0.500, 0.500, 0.500]],
  "formation_energy_ev_per_atom": -0.21,
  "sg": "No. 166",
  "relative_energy_ev_per_atom": 0.059,
  "dft_energy_ev_per_atom": -9.815
}


- What is the formula in the third record?
  UPaOs